(1)
This record from the Alexandria database describes crystalline PrNdThTl at its relaxed geometry. The functional is PBE-GGA.

For the total moment, the calculation gives 0.00 μB per formula unit. As for the energy relative to the elements: 34 meV per atom. Its density of states at the Fermi level is 6.81 states/eV/cell.

Structure (POSCAR):
```
PrNdThTl
1.0
0.0000 3.9671 3.9671
3.9671 0.0000 3.9671
3.9671 3.9671 0.0000
Pr Nd Th Tl
1 1 1 1
Cartesian
0.0000 0.0000 0.0000 Pr
3.9671 3.9671 3.9671 Nd
1.9836 1.9836 1.9836 Th
5.9507 5.9507 5.9507 Tl
```



(2)
This record from the Alexandria database describes crystalline PrNd2Tm2Th2 at its relaxed geometry. The functional is PBE-GGA.

For the total moment, the calculation gives 0.00 μB per formula unit. As for the energy relative to the elements: 176 meV per atom. Its density of states at the Fermi level is 10.88 states/eV/cell.

Structure (POSCAR):
```
PrNd2Tm2Th2
1.0
8.9626 -1.7437 0.0000
8.9626 1.7437 0.0000
-3.7173 0.0000 7.6016
Pr Nd Tm Th
1 2 2 2
Cartesian
0.0000 0.0000 0.0000 Pr
5.4088 0.0000 4.4102 Nd
8.7992 0.0000 3.1914 Nd
5.8942 0.0000 0.8098 Tm
8.3137 0.0000 6.7918 Tm
2.8085 0.0000 2.2794 Th
11.3995 0.0000 5.3221 Th
```



(3)
This record from the Alexandria database describes crystalline PrNd2Tm4Th at its relaxed geometry. The functional is PBE-GGA.

For the total moment, the calculation gives 0.00 μB per formula unit. As for the energy relative to the elements: 28 meV per atom. Its density of states at the Fermi level is 10.53 states/eV/cell.

Structure (POSCAR):
```
PrNd2Tm4Th
1.0
5.1097 0.0000 0.0000
0.0000 5.1187 0.0000
-0.0077 0.0000 9.8786
Pr Nd Tm Th
1 2 4 1
Cartesian
0.0000 0.0000 0.0000 Pr
-0.0038 0.0000 4.9393 Nd
2.5549 2.5594 0.0000 Nd
5.1075 2.5594 2.5197 Tm
-0.0055 2.5594 7.3589 Tm
2.5514 0.0000 2.5215 Tm
2.5507 0.0000 7.3570 Tm
2.5510 2.5594 4.9393 Th
```



(4)
This record from the Alexandria database describes crystalline PrNd3Tm6Th2 at its relaxed geometry. The functional is PBE-GGA.

For the total moment, the calculation gives 0.00 μB per formula unit. As for the energy relative to the elements: 28 meV per atom. Its density of states at the Fermi level is 15.41 states/eV/cell.

Structure (POSCAR):
```
PrNd3Tm6Th2
1.0
3.1055 -5.3778 0.0000
3.1055 5.3778 0.0000
-2.0773 0.0000 11.4916
Pr Nd Tm Th
1 3 6 2
Cartesian
0.0000 0.0000 0.0000 Pr
2.0668 3.5913 5.7458 Nd
2.0668 0.0000 5.7458 Nd
2.0668 -3.5913 5.7458 Nd
1.0504 1.8205 2.8257 Tm
0.0266 0.0000 8.6640 Tm
1.0504 -1.8205 2.8257 Tm
3.0833 1.8205 8.6659 Tm
4.1071 0.0000 2.8277 Tm
3.0833 -1.8205 8.6659 Tm
3.1055 1.7917 0.0000 Th
3.1055 -1.7917 0.0000 Th
```



(5)
This record from the Alexandria database describes crystalline Pr6Nd2TmTh at its relaxed geometry. The functional is PBE-GGA.

For the total moment, the calculation gives 0.00 μB per formula unit. As for the energy relative to the elements: 142 meV per atom. Its density of states at the Fermi level is 29.07 states/eV/cell.

Structure (POSCAR):
```
Pr6Nd2TmTh
1.0
4.6866 -7.6073 0.0000
4.6866 7.6073 0.0000
-1.6721 0.0000 9.8931
Pr Nd Tm Th
12 4 2 2
Cartesian
2.4412 4.3182 1.8839 Pr
3.1000 4.8463 5.4950 Pr
3.7651 4.8463 9.3446 Pr
3.1415 1.5641 3.7698 Pr
6.0960 4.3182 3.0627 Pr
5.3957 1.5641 1.1768 Pr
2.3054 -1.5641 8.7163 Pr
1.6051 -4.3182 6.8305 Pr
4.5597 -1.5641 6.1233 Pr
3.9360 -4.8463 0.5485 Pr
4.6012 -4.8463 4.3981 Pr
5.2600 -4.3182 8.0092 Pr
2.1757 0.6893 0.4654 Nd
1.3396 -0.6893 5.4119 Nd
6.3615 0.6893 4.4812 Nd
5.5254 -0.6893 9.4277 Nd
3.4325 1.4130 7.4198 Tm
4.2686 -1.4130 2.4733 Tm
4.2686 7.3103 2.4733 Th
3.4325 -7.3103 7.4198 Th
```



(6)
This record from the Alexandria database describes crystalline Pr2Nd4TmTh at its relaxed geometry. The functional is PBE-GGA.

For the total moment, the calculation gives 0.00 μB per formula unit. As for the energy relative to the elements: 134 meV per atom. Its density of states at the Fermi level is 16.01 states/eV/cell.

Structure (POSCAR):
```
Pr2Nd4TmTh
1.0
6.1110 0.0000 0.0000
0.0000 6.1238 0.0000
-0.0175 0.0000 7.3400
Pr Nd Tm Th
2 4 1 1
Cartesian
0.0000 0.0000 0.0000 Pr
3.0468 3.0619 3.6700 Pr
-0.0034 3.0619 1.8093 Nd
6.0970 3.0619 5.5308 Nd
3.0483 0.0000 1.8040 Nd
3.0453 0.0000 5.5360 Nd
-0.0087 0.0000 3.6700 Tm
3.0555 3.0619 0.0000 Th
```



Repeat the second record exactly.
This record from the Alexandria database describes crystalline PrNd2Tm2Th2 at its relaxed geometry. The functional is PBE-GGA.

For the total moment, the calculation gives 0.00 μB per formula unit. As for the energy relative to the elements: 176 meV per atom. Its density of states at the Fermi level is 10.88 states/eV/cell.

Structure (POSCAR):
```
PrNd2Tm2Th2
1.0
8.9626 -1.7437 0.0000
8.9626 1.7437 0.0000
-3.7173 0.0000 7.6016
Pr Nd Tm Th
1 2 2 2
Cartesian
0.0000 0.0000 0.0000 Pr
5.4088 0.0000 4.4102 Nd
8.7992 0.0000 3.1914 Nd
5.8942 0.0000 0.8098 Tm
8.3137 0.0000 6.7918 Tm
2.8085 0.0000 2.2794 Th
11.3995 0.0000 5.3221 Th
```



Which value of energy relative to the elements does entry 5 give?
142 meV per atom



Which formula does entry 1 have?
PrNdThTl